Entry 1:
! GGA-PBEsol Tm2ReC2, relaxed; values from VASP
! * formation energy: -0.4981 eV/atom
! * space-group type: Pnma, No. 62
! * crystal system: orthorhombic
! * VASP energy: -8.982 eV per atom
&SYSTEM
  ibrav = 0, nat = 20, ntyp = 3
/
ATOMIC_SPECIES
C 12.01 C.upf
Re 186.21 Re.upf
Tm 168.93 Tm.upf
CELL_PARAMETERS angstrom
4.968 0.000 0.000
0.000 6.445 0.000
0.000 0.000 9.626
ATOMIC_POSITIONS angstrom
C 1.242 3.564 2.323
C 3.726 6.103 7.136
C 3.726 5.340 0.533
C 3.726 2.118 4.280
C 1.242 1.105 9.093
C 3.726 2.881 7.303
C 1.242 0.342 2.490
C 1.242 4.327 5.346
Re 1.242 1.842 1.249
Re 3.726 1.381 6.062
Re 1.242 5.064 3.564
Re 3.726 4.603 8.377
Tm 3.726 3.449 2.082
Tm 3.726 0.227 2.731
Tm 1.242 6.218 6.895
Tm 1.242 2.088 4.259
Tm 3.726 1.134 9.072
Tm 1.242 5.311 0.554
Tm 3.726 4.356 5.366
Tm 1.242 2.996 7.544

Entry 2:
! GGA-PBEsol PtAuCl, relaxed; values from VASP
! * uncorrected formation energy: 1022 meV per atom
! * space-group type: F-43m, No. 216
! * crystal system: cubic
! * VASP energy: -3.276 eV per atom
&SYSTEM
  ibrav = 0, nat = 3, ntyp = 3
/
ATOMIC_SPECIES
Pt 195.08 Pt.upf
Au 196.97 Au.upf
Cl 35.45 Cl.upf
CELL_PARAMETERS angstrom
-3.521 -2.382 0.621
0.290 -3.772 2.037
-1.628 -0.438 3.952
ATOMIC_POSITIONS angstrom
Pt 0.000 0.000 0.000
Au -2.430 -3.296 3.305
Cl -3.644 -4.944 4.958